Record 1
The following is a DFT calculation (PBE) of a relaxed Cd2MoP crystal.

The energy relative to the elements comes out at 0.5575 eV/atom. The calculation puts the total magnetization at 7.3 Bohr magnetons per cell.

It has space group I-42d (No. 122), with a = 8.213 Å, b = 8.213 Å, c = 4.886 Å, α = 90.00°, β = 90.00° and γ = 90.00°. The distinct sites, in fractional coordinates, are Cd at (0.186, 0.250, 0.125), Mo at (0.000, 0.000, 0.500) and P at (0.000, 0.000, 0.000).

***

Record 2
The following is a DFT calculation (PBE) of a relaxed Rb2ScZn2O4 crystal.

The calculation puts the uncorrected formation energy at -1.731 eV per atom. The calculation puts the total magnetization at 0.0 Bohr magnetons per cell.

It has space group C2/m (No. 12), with a = 14.160 Å, b = 3.258 Å, c = 6.982 Å, α = 90.00°, β = 113.02° and γ = 90.00°. The distinct sites, in fractional coordinates, are Rb at (0.125, 0.000, 0.038), Sc at (0.000, 0.000, 0.500), Zn at (0.178, 0.500, 0.531), O at (0.029, 0.500, 0.324) and O at (0.166, 0.000, 0.690).

***

Record 3
The following is a DFT calculation (PBE) of a relaxed Ti2Ga7Mo2 crystal.

The energy relative to the elements comes out at 0.2751 eV/atom. The calculation puts the total magnetization at 0.0 Bohr magnetons per cell.

It has space group C2/m (No. 12), with a = 9.257 Å, b = 7.298 Å, c = 6.039 Å, α = 90.00°, β = 90.12° and γ = 90.00°. The distinct sites, in fractional coordinates, are Ti at (0.000, 0.161, 0.000), Ga at (0.000, 0.000, 0.500), Ga at (0.000, 0.500, 0.222), Ga at (0.250, 0.250, 0.207) and Mo at (0.231, 0.500, 0.500).